CsZrF4 | OQMD via LeMat-Bulk | PBE-GGA | relaxed; raw total energy = -5.974 eV/atom; calculated volume = 309.53 Å³/cell; ρ = 4.83 g/cm³
1.0
9.2502 0.0000 0.0000
-4.6251 8.0109 0.0000
0.0000 0.0000 4.1770
Cs Zr F
3 3 12
direct
0.0000 0.5477 0.0000
0.4523 0.4523 0.0000
0.5477 0.0000 0.0000
0.0000 0.2073 0.5000
0.2073 0.0000 0.5000
0.7927 0.7927 0.5000
0.0000 0.2128 0.0000
0.0000 0.7575 0.5000
0.1704 0.4606 0.5000
0.2128 0.0000 0.0000
0.2425 0.2425 0.5000
0.2902 0.8296 0.5000
0.4606 0.1704 0.5000
0.5394 0.7098 0.5000
0.7098 0.5394 0.5000
0.7575 0.0000 0.5000
0.7872 0.7872 0.0000
0.8296 0.2902 0.5000



AgMo2Pb | OQMD via LeMat-Bulk | PBE-GGA | relaxed; raw total energy = -6.292 eV/atom; calculated volume = 73.04 Å³/cell; ρ = 11.52 g/cm³
1.0
0.0000 3.3178 3.3178
3.3178 0.0000 3.3178
3.3178 3.3178 0.0000
Ag Mo Pb
1 2 1
direct
0.0000 0.0000 0.0000
0.2500 0.2500 0.2500
0.5000 0.5000 0.5000
0.7500 0.7500 0.7500



Sm2SnAu | OQMD via LeMat-Bulk | PBE-GGA | relaxed; raw total energy = -4.946 eV/atom; calculated volume = 110.08 Å³/cell; ρ = 9.30 g/cm³
1.0
4.5409 0.0000 0.0000
0.0000 2.1063 5.7544
0.0000 -2.1063 5.7544
Sm Sn Au
2 1 1
direct
0.0000 0.0000 0.0000
0.5000 0.2821 0.2821
0.0000 0.7213 0.7213
0.5000 0.5511 0.5511



BaSmAg2Sb2 | OQMD via LeMat-Bulk | PBE-GGA | relaxed; raw total energy = -4.139 eV/atom; calculated volume = 170.39 Å³/cell; ρ = 7.28 g/cm³
1.0
4.8248 0.0000 0.0000
-2.4124 4.1784 0.0000
0.0000 0.0000 8.4517
Ba Sm Ag Sb
1 1 2 2
direct
0.0000 0.0000 0.0000
0.0000 0.0000 0.5014
0.3333 0.6667 0.6937
0.6667 0.3333 0.3158
0.3333 0.6667 0.2699
0.6667 0.3333 0.7309



AlCuHgIr | OQMD via LeMat-Bulk | PBE-GGA | relaxed; raw total energy = -4.143 eV/atom; calculated volume = 62.43 Å³/cell; ΔE to the lowest computed polymorph = 0.0 meV per atom; ρ = 12.86 g/cm³
1.0
0.0000 3.1486 3.1486
3.1486 0.0000 3.1486
3.1486 3.1486 0.0000
Al Cu Hg Ir
1 1 1 1
direct
0.0000 0.0000 0.0000
0.2500 0.2500 0.2500
0.5000 0.5000 0.5000
0.7500 0.7500 0.7500



Li2Mg2CdAgAu2 | OQMD via LeMat-Bulk | PBE-GGA | relaxed; raw total energy = -2.555 eV/atom; calculated volume = 140.72 Å³/cell; ρ = 7.99 g/cm³
1.0
4.6355 0.0000 0.0000
0.0000 4.6355 0.0000
0.0000 0.0000 6.5489
Li Mg Cd Ag Au
2 2 1 1 2
direct
0.0000 0.5000 0.2385
0.5000 0.0000 0.7615
0.0000 0.0000 0.0000
0.5000 0.5000 0.5000
0.0000 0.0000 0.5000
0.5000 0.5000 0.0000
0.0000 0.5000 0.7500
0.5000 0.0000 0.2500



Zr2InPt | OQMD via LeMat-Bulk | PBE-GGA | relaxed; raw total energy = -6.776 eV/atom; calculated volume = 81.08 Å³/cell; ρ = 10.08 g/cm³
1.0
0.0000 3.4353 3.4353
3.4353 0.0000 3.4353
3.4353 3.4353 0.0000
Zr In Pt
2 1 1
direct
0.0000 0.0000 0.0000
0.2500 0.2500 0.2500
0.5000 0.5000 0.5000
0.7500 0.7500 0.7500



HfSc3Sn2C2 | OQMD via LeMat-Bulk | PBE-GGA | relaxed; raw total energy = -7.649 eV/atom; calculated volume = 145.03 Å³/cell; ρ = 6.58 g/cm³
1.0
3.3656 0.0000 0.0000
-1.6828 2.9147 0.0000
0.0000 0.0000 14.7845
Hf Sc Sn C
1 3 2 2
direct
0.0000 0.0000 0.0000
0.0000 0.0000 0.6648
0.6667 0.3333 0.1649
0.6667 0.3333 0.5009
0.0000 0.0000 0.3319
0.6667 0.3333 0.8351
0.3333 0.6667 0.0785
0.3333 0.6667 0.5834